# CoSiP PBE optimized geometry
# * raw formation energy: 0.07 eV/atom
# * M_tot: 0.01 μB/atom
# * total energy: -35.46 eV per cell
data_CoSiP
_space_group_name_H-M_alt 'I 4 m m'
_space_group_IT_number 107
_space_group_name_Hall 'I 4 -2'
_cell_length_a 3.202
_cell_length_b 3.202
_cell_length_c 7.162
_cell_angle_alpha 90.00
_cell_angle_beta 90.00
_cell_angle_gamma 90.00
loop_
_atom_site_label
_atom_site_fract_x
_atom_site_fract_y
_atom_site_fract_z
_atom_site_occupancy
Co1 0.000 0.000 0.000 1
Si1 0.000 0.000 0.660 1
P1 0.000 0.000 0.328 1